{"formula": "TaGaSe2Br", "functional": "PBE", "state": "relaxed", "lattice": [[5.072, 0.000, 0.000], [0.000, 5.072, 0.000], [0.000, 0.000, 5.208]], "species": ["Ta", "Ga", "Se", "Se", "Br"], "frac_coords": [[0.000, 0.000, 0.000], [0.500, 0.500, 0.500], [0.000, 0.500, 0.000], [0.500, 0.000, 0.000], [0.000, 0.000, 0.500]], "de_polymorph_kj_per_mol_atoms": 0.0, "m_tot_mub_per_cell": 0.0, "total_energy_ev_per_atom": -4.979}